The following is a DFT calculation (PBE-GGA) of an optimized crystal structure of Li2CaLa2.

POSCAR file:
```
Li2CaLa2
1.0
-1.7538 3.8402 -0.2465
-0.6430 -0.0253 4.1797
7.0206 5.7437 3.2541
Li La Ca
2 2 1
Direct
0.7500 0.2500 0.5000
0.2500 0.7500 0.5000
0.3948 0.3948 0.2104
0.6052 0.6052 0.7896
0.0000 0.0000 0.0000
```

Computed properties:
Calculated density   3363 kg/m³
Total magnetic moment   0.00 Bohr magnetons per cell
ΔH_f (0 K)   0.27 eV/atom
Energy relative to the lowest polymorph listed for this composition   106.6 meV per atom
Calculated total energy   -2.870 eV per atom